[1]
VASP calculation (meta-GGA SCAN) on a PBEsol-optimized structure of Zn2B2PbO6.

abc: 4.982 10.635 11.159
angles: 90.00 90.00 90.00
Sites, in units of the cell vectors:
Zn 0.816 0.849 0.499
Zn 0.316 0.151 0.999
Zn 0.684 0.349 0.499
Zn 0.184 0.151 0.501
Zn 0.684 0.849 0.001
Zn 0.184 0.651 0.999
Zn 0.316 0.651 0.501
Zn 0.816 0.349 0.001
B 0.304 0.416 0.897
B 0.696 0.084 0.397
B 0.696 0.584 0.103
B 0.196 0.916 0.897
B 0.804 0.084 0.103
B 0.304 0.916 0.603
B 0.196 0.416 0.603
B 0.804 0.584 0.397
Pb 0.750 0.564 0.750
Pb 0.250 0.436 0.250
Pb 0.750 0.064 0.750
Pb 0.250 0.936 0.250
O 0.345 0.523 0.625
O 0.655 0.477 0.375
O 0.679 0.188 0.054
O 0.679 0.688 0.446
O 0.655 0.977 0.125
O 0.321 0.812 0.946
O 0.155 0.023 0.625
O 0.321 0.312 0.554
O 0.423 0.588 0.125
O 0.077 0.088 0.125
O 0.345 0.023 0.875
O 0.845 0.477 0.125
O 0.821 0.688 0.054
O 0.077 0.588 0.375
O 0.821 0.188 0.446
O 0.423 0.088 0.375
O 0.923 0.912 0.875
O 0.577 0.912 0.625
O 0.845 0.977 0.375
O 0.179 0.312 0.946
O 0.923 0.412 0.625
O 0.155 0.523 0.875
O 0.179 0.812 0.554
O 0.577 0.412 0.875

## Properties
Total magnetization, Bohr magnetons per cell: 0.0
Volume, Å³/cell: 591.18
Space group: Pccn, No. 56
Uncorrected energy, eV per formula unit: -177.32
Formation energy without anion corrections, eV per atom: -2.023



[2]
VASP calculation (meta-GGA SCAN) on a PBEsol-optimized structure of TcBPd2O.

abc: 3.982 3.982 4.212
angles: 90.00 90.00 90.00
Site moments in Bohr magnetons follow the coordinates.
Sites, in units of the cell vectors:
O 0.500 0.500 0.500  0.67
B 0.000 0.000 0.000  -0.10
Tc 0.000 0.000 0.500  2.84
Pd 0.000 0.500 0.000  0.27
Pd 0.500 0.000 0.000  0.27

## Properties
Total magnetization, Bohr magnetons per cell: 4.1
Volume, Å³/cell: 66.81
Space group: P4/mmm, No. 123
Uncorrected energy, eV per formula unit: -111.30
Formation energy without anion corrections, eV per atom: 0.593



[3]
VASP calculation (meta-GGA SCAN) on a PBEsol-optimized structure of PrBO3.

abc: 5.047 5.724 8.135
angles: 90.00 90.00 90.00
Sites, in units of the cell vectors:
Pr 0.750 0.757 0.415
Pr 0.250 0.743 0.915
Pr 0.750 0.257 0.085
Pr 0.250 0.243 0.585
B 0.750 0.916 0.761
B 0.250 0.584 0.261
B 0.750 0.416 0.739
B 0.250 0.084 0.239
O 0.514 0.911 0.676
O 0.486 0.589 0.176
O 0.986 0.411 0.824
O 0.014 0.089 0.324
O 0.486 0.089 0.324
O 0.514 0.411 0.824
O 0.014 0.589 0.176
O 0.986 0.911 0.676
O 0.750 0.899 0.930
O 0.250 0.601 0.430
O 0.750 0.399 0.570
O 0.250 0.101 0.070

## Properties
Total magnetization, Bohr magnetons per cell: 0.0
Volume, Å³/cell: 235.02
Space group: Pnma, No. 62
Uncorrected energy, eV per formula unit: -86.10
Formation energy without anion corrections, eV per atom: -3.331



[4]
VASP calculation (meta-GGA SCAN) on a PBEsol-optimized structure of PrSc3B4O12.

abc: 6.252 6.252 11.990
angles: 99.11 99.11 104.16
Sites, in units of the cell vectors:
Pr 0.964 0.036 0.750
Pr 0.036 0.964 0.250
Sc 0.702 0.202 0.475
Sc 0.798 0.298 0.025
Sc 0.298 0.798 0.525
Sc 0.202 0.702 0.975
Sc 0.426 0.574 0.750
Sc 0.574 0.426 0.250
B 0.731 0.779 0.000
B 0.221 0.269 0.500
B 0.269 0.221 0.000
B 0.779 0.731 0.500
B 0.494 0.102 0.774
B 0.898 0.506 0.726
B 0.506 0.898 0.226
B 0.102 0.494 0.274
O 0.889 0.435 0.205
O 0.565 0.111 0.295
O 0.111 0.565 0.795
O 0.435 0.889 0.705
O 0.007 0.186 0.431
O 0.814 0.993 0.069
O 0.993 0.814 0.569
O 0.186 0.007 0.931
O 0.353 0.238 0.759
O 0.762 0.647 0.741
O 0.647 0.762 0.241
O 0.238 0.353 0.259
O 0.869 0.637 0.005
O 0.363 0.131 0.495
O 0.131 0.363 0.995
O 0.637 0.869 0.505
O 0.168 0.696 0.352
O 0.304 0.832 0.148
O 0.832 0.304 0.648
O 0.696 0.168 0.852
O 0.708 0.517 0.432
O 0.483 0.292 0.068
O 0.292 0.483 0.568
O 0.517 0.708 0.932

## Properties
Total magnetization, Bohr magnetons per cell: 0.0
Volume, Å³/cell: 439.08
Space group: C2/c, No. 15
Uncorrected energy, eV per formula unit: -257.00
Formation energy without anion corrections, eV per atom: -3.324



[5]
VASP calculation (meta-GGA SCAN) on a PBEsol-optimized structure of B2PtO2.

abc: 2.531 5.934 5.934
angles: 90.00 90.00 90.00
Sites, in units of the cell vectors:
B 0.000 0.391 0.891
B 0.000 0.891 0.609
B 0.000 0.609 0.109
B 0.000 0.109 0.391
O 0.500 0.124 0.624
O 0.500 0.624 0.876
O 0.500 0.876 0.376
O 0.500 0.376 0.124
Pt 0.000 0.000 0.000
Pt 0.000 0.500 0.500

## Properties
Total magnetization, Bohr magnetons per cell: 0.0
Volume, Å³/cell: 89.14
Space group: P4/mbm, No. 127
Uncorrected energy, eV per formula unit: -93.23
Formation energy without anion corrections, eV per atom: 0.856



[6]
VASP calculation (meta-GGA SCAN) on a PBEsol-optimized structure of Rb5B19O31.

abc: 10.836 10.836 13.253
angles: 85.25 85.25 64.98
Sites, in units of the cell vectors:
Rb 0.943 0.407 0.330
Rb 0.057 0.593 0.670
Rb 0.606 0.721 0.314
Rb 0.407 0.943 0.830
Rb 0.000 0.000 0.000
Rb 0.721 0.606 0.814
Rb 0.000 0.000 0.500
Rb 0.394 0.279 0.686
Rb 0.279 0.394 0.186
Rb 0.593 0.057 0.170
B 0.242 0.275 0.469
B 0.707 0.957 0.466
B 0.474 0.559 0.119
B 0.387 0.613 0.750
B 0.322 0.712 0.997
B 0.613 0.387 0.250
B 0.036 0.098 0.757
B 0.216 0.519 0.427
B 0.902 0.964 0.743
B 0.243 0.105 0.352
B 0.331 0.971 0.198
B 0.526 0.441 0.881
B 0.757 0.895 0.648
B 0.043 0.293 0.034
B 0.275 0.242 0.969
B 0.669 0.029 0.802
B 0.964 0.902 0.243
B 0.105 0.243 0.852
B 0.758 0.725 0.531
B 0.824 0.320 0.132
B 0.098 0.036 0.257
B 0.712 0.322 0.497
B 0.288 0.678 0.503
B 0.680 0.176 0.368
B 0.293 0.043 0.534
B 0.481 0.784 0.073
B 0.441 0.526 0.381
B 0.678 0.288 0.003
B 0.971 0.331 0.698
B 0.784 0.481 0.573
B 0.895 0.757 0.148
B 0.029 0.669 0.302
B 0.559 0.474 0.619
B 0.725 0.758 0.031
B 0.519 0.216 0.927
B 0.957 0.707 0.966
B 0.320 0.824 0.632
B 0.176 0.680 0.868
O 0.045 0.682 0.881
O 0.284 0.007 0.441
O 0.344 0.482 0.365
O 0.566 0.481 0.333
O 0.107 0.116 0.327
O 0.051 0.343 0.768
O 0.725 0.825 0.450
O 0.965 0.206 0.690
O 0.007 0.284 0.941
O 0.434 0.519 0.667
O 0.657 0.949 0.732
O 0.368 0.808 0.008
O 0.794 0.035 0.810
O 0.192 0.632 0.492
O 0.682 0.045 0.381
O 0.785 0.254 0.065
O 0.215 0.746 0.935
O 0.746 0.215 0.435
O 0.893 0.884 0.673
O 0.556 0.103 0.859
O 0.825 0.725 0.950
O 0.206 0.965 0.190
O 0.897 0.444 0.641
O 0.632 0.192 0.992
O 0.760 0.771 0.125
O 0.254 0.785 0.565
O 0.716 0.993 0.559
O 0.771 0.760 0.625
O 0.955 0.318 0.119
O 0.023 0.977 0.750
O 0.401 0.223 0.994
O 0.749 0.379 0.215
O 0.035 0.794 0.310
O 0.229 0.240 0.375
O 0.519 0.434 0.167
O 0.379 0.749 0.715
O 0.175 0.275 0.050
O 0.621 0.251 0.285
O 0.412 0.631 0.448
O 0.481 0.566 0.833
O 0.518 0.656 0.135
O 0.599 0.777 0.006
O 0.240 0.229 0.875
O 0.223 0.401 0.494
O 0.318 0.955 0.619
O 0.444 0.897 0.141
O 0.482 0.344 0.865
O 0.343 0.051 0.268
O 0.103 0.556 0.359
O 0.977 0.023 0.250
O 0.884 0.893 0.173
O 0.993 0.716 0.059
O 0.116 0.107 0.827
O 0.588 0.369 0.552
O 0.949 0.657 0.232
O 0.656 0.518 0.635
O 0.251 0.621 0.785
O 0.777 0.599 0.506
O 0.808 0.368 0.508
O 0.275 0.175 0.550
O 0.631 0.412 0.948
O 0.369 0.588 0.052

## Properties
Total magnetization, Bohr magnetons per cell: 0.0
Volume, Å³/cell: 1403.42
Space group: C2/c, No. 15
Uncorrected energy, eV per formula unit: -582.60
Formation energy without anion corrections, eV per atom: -2.629



[7]
VASP calculation (meta-GGA SCAN) on a PBEsol-optimized structure of RbB3O5.

abc: 6.636 6.636 9.205
angles: 79.76 79.76 84.10
Sites, in units of the cell vectors:
B 0.210 0.196 0.265
B 0.804 0.790 0.235
B 0.790 0.804 0.735
B 0.196 0.210 0.765
B 0.570 0.070 0.321
B 0.930 0.430 0.179
B 0.430 0.930 0.679
B 0.070 0.570 0.821
B 0.888 0.965 0.433
B 0.035 0.112 0.067
B 0.112 0.035 0.567
B 0.965 0.888 0.933
O 0.090 0.074 0.403
O 0.926 0.910 0.097
O 0.910 0.926 0.597
O 0.074 0.090 0.903
O 0.213 0.097 0.135
O 0.903 0.787 0.365
O 0.787 0.903 0.865
O 0.097 0.213 0.635
O 0.596 0.896 0.256
O 0.104 0.404 0.244
O 0.404 0.104 0.744
O 0.896 0.596 0.756
O 0.411 0.216 0.300
O 0.784 0.589 0.200
O 0.589 0.784 0.700
O 0.216 0.411 0.800
O 0.712 0.107 0.405
O 0.893 0.288 0.095
O 0.288 0.893 0.595
O 0.107 0.712 0.905
Rb 0.424 0.736 0.053
Rb 0.264 0.576 0.447
Rb 0.576 0.264 0.947
Rb 0.736 0.424 0.553

## Properties
Total magnetization, Bohr magnetons per cell: 0.0
Volume, Å³/cell: 391.49
Space group: C2/c, No. 15
Uncorrected energy, eV per formula unit: -97.71
Formation energy without anion corrections, eV per atom: -2.614



[8]
VASP calculation (meta-GGA SCAN) on a PBEsol-optimized structure of RbB5O8.

abc: 7.575 11.888 14.859
angles: 90.00 90.00 90.00
Sites, in units of the cell vectors:
Rb 0.432 0.708 0.120
Rb 0.068 0.292 0.620
Rb 0.432 0.792 0.620
Rb 0.068 0.208 0.120
Rb 0.932 0.792 0.880
Rb 0.568 0.208 0.380
Rb 0.932 0.708 0.380
Rb 0.568 0.292 0.880
B 0.694 0.432 0.543
B 0.023 0.975 0.654
B 0.523 0.525 0.346
B 0.806 0.568 0.043
B 0.023 0.525 0.154
B 0.908 0.406 0.418
B 0.450 0.725 0.374
B 0.977 0.475 0.846
B 0.592 0.906 0.418
B 0.477 0.475 0.654
B 0.592 0.594 0.918
B 0.050 0.225 0.374
B 0.950 0.725 0.126
B 0.082 0.101 0.786
B 0.194 0.068 0.457
B 0.582 0.101 0.714
B 0.806 0.932 0.543
B 0.582 0.399 0.214
B 0.977 0.025 0.346
B 0.408 0.406 0.082
B 0.918 0.899 0.214
B 0.477 0.025 0.154
B 0.550 0.225 0.126
B 0.694 0.068 0.043
B 0.194 0.432 0.957
B 0.550 0.275 0.626
B 0.918 0.601 0.714
B 0.418 0.601 0.786
B 0.082 0.399 0.286
B 0.950 0.775 0.626
B 0.050 0.275 0.874
B 0.306 0.568 0.457
B 0.908 0.094 0.918
B 0.092 0.594 0.582
B 0.418 0.899 0.286
B 0.306 0.932 0.957
B 0.092 0.906 0.082
B 0.523 0.975 0.846
B 0.408 0.094 0.582
B 0.450 0.775 0.874
O 0.684 0.322 0.565
O 0.316 0.678 0.435
O 0.011 0.964 0.152
O 0.890 0.941 0.299
O 0.596 0.513 0.589
O 0.989 0.464 0.348
O 0.365 0.793 0.304
O 0.572 0.794 0.428
O 0.390 0.941 0.201
O 0.865 0.707 0.696
O 0.511 0.964 0.348
O 0.428 0.294 0.072
O 0.684 0.178 0.065
O 0.635 0.207 0.696
O 0.404 0.013 0.911
O 0.110 0.059 0.701
O 0.489 0.036 0.652
O 0.804 0.029 0.975
O 0.072 0.706 0.572
O 0.948 0.365 0.829
O 0.635 0.293 0.196
O 0.184 0.322 0.935
O 0.304 0.029 0.525
O 0.610 0.059 0.799
O 0.804 0.471 0.475
O 0.135 0.207 0.804
O 0.011 0.536 0.652
O 0.511 0.536 0.848
O 0.865 0.793 0.196
O 0.072 0.794 0.072
O 0.928 0.294 0.428
O 0.052 0.865 0.671
O 0.365 0.707 0.804
O 0.552 0.865 0.829
O 0.696 0.971 0.475
O 0.404 0.487 0.411
O 0.928 0.206 0.928
O 0.552 0.635 0.329
O 0.596 0.987 0.089
O 0.572 0.706 0.928
O 0.316 0.822 0.935
O 0.096 0.987 0.411
O 0.135 0.293 0.304
O 0.196 0.971 0.025
O 0.816 0.822 0.565
O 0.489 0.464 0.152
O 0.304 0.471 0.025
O 0.052 0.635 0.171
O 0.989 0.036 0.848
O 0.890 0.559 0.799
O 0.816 0.678 0.065
O 0.948 0.135 0.329
O 0.696 0.529 0.975
O 0.390 0.559 0.701
O 0.096 0.513 0.911
O 0.610 0.441 0.299
O 0.184 0.178 0.435
O 0.428 0.206 0.572
O 0.448 0.135 0.171
O 0.904 0.487 0.089
O 0.904 0.013 0.589
O 0.110 0.441 0.201
O 0.448 0.365 0.671
O 0.196 0.529 0.525

## Properties
Total magnetization, Bohr magnetons per cell: 0.0
Volume, Å³/cell: 1338.16
Space group: Pbca, No. 61
Uncorrected energy, eV per formula unit: -144.52
Formation energy without anion corrections, eV per atom: -2.628